1.
DFT (GGA-PBE) results for a geometry-optimized Al2TlCu structure.

Lattice parameters (Å, degrees): 6.7323 6.7323 6.7323 90.00 90.00 90.00
With the nearest neighbours (Å) after each atom.
Space group Fm-3m (No. 225)
Unique sites:
Al  0.2500  0.2500  0.2500 (multiplicity 8)  4 Tl 2.92, 4 Cu 2.92
Tl  0.0000  0.0000  0.0000 (multiplicity 4)  8 Al 2.92
Cu  0.0000  0.0000  0.5000 (multiplicity 4)  8 Al 2.92

Summary:
energy of formation from the pure elements	0.369	eV/atom
crystal system	cubic
DFT total energy	-12.5	eV per formula unit
density of states at the Fermi level	8.31	states/eV per cell
excess energy over the best structure of this formula in the dataset	257	meV/atom

2.
DFT (GGA-PBE) results for a geometry-optimized AlTlCu3 structure.

Lattice parameters (Å, degrees): 4.9059 4.9059 4.9059 90.00 90.00 90.00
With the nearest neighbours (Å) after each atom.
Space group Pm-3m (No. 221)
Unique sites:
Al  0.0000  0.0000  0.0000 (multiplicity 1)  12 Cu 3.47
Tl  0.5000  0.5000  0.5000 (multiplicity 1)  6 Cu 2.45
Cu  0.0000  0.5000  0.5000 (multiplicity 3)  2 Tl 2.45

Summary:
energy of formation from the pure elements	1.005	eV/atom
crystal system	cubic
DFT total energy	-13.4	eV per formula unit
density of states at the Fermi level	2.52	states/eV per cell
excess energy over the best structure of this formula in the dataset	484	meV/atom

3.
DFT (GGA-PBE) results for a geometry-optimized AlTl4Cu structure.

Lattice parameters (Å, degrees): 8.9422 8.9422 8.9422 90.00 90.00 90.00
With the nearest neighbours (Å) after each atom.
Space group F-43m (No. 216)
Unique sites:
Al  0.0000  0.0000  0.0000 (multiplicity 4)  12 Tl 3.71, 4 Cu 3.87
Tl  0.1247  0.1247  0.3753 (multiplicity 16)  6 Tl 3.15-3.17
Cu  0.2500  0.2500  0.7500 (multiplicity 4)  12 Tl 3.71, 4 Al 3.87

Summary:
energy of formation from the pure elements	0.593	eV/atom
crystal system	cubic
DFT total energy	-13.7	eV per formula unit
density of states at the Fermi level	16.33	states/eV per cell

4.
DFT (GGA-PBE) results for a geometry-optimized Al2TlCu structure.

Lattice parameters (Å, degrees): 3.2035 3.2035 25.4830 90.00 90.00 120.00
With the nearest neighbours (Å) after each atom.
Space group R-3m (No. 166, hexagonal axes)
Unique sites:
Al  0.0000  0.0000  0.2344 (multiplicity 6)  3 Cu 2.53
Tl  0.0000  0.0000  0.0000 (multiplicity 3)  6 Al 3.13, 6 Tl 3.20
Cu  0.0000  0.0000  0.5000 (multiplicity 3)  6 Al 2.53

Summary:
energy of formation from the pure elements	0.157	eV/atom
crystal system	trigonal
DFT total energy	-13.3	eV per formula unit
density of states at the Fermi level	2.74	states/eV per cell
excess energy over the best structure of this formula in the dataset	45	meV/atom

5.
DFT (GGA-PBE) results for a geometry-optimized Al2TlCu structure.

Lattice parameters (Å, degrees): 3.3056 4.4916 5.1645 90.00 90.00 90.00
With the nearest neighbours (Å) after each atom.
Space group Pmmm (No. 47)
Unique sites:
Al  0.0000  0.0000  0.0000 (multiplicity 1)  4 Al 2.79, 4 Cu 3.07
Al  0.5000  0.5000  0.0000 (multiplicity 1)  4 Al 2.79, 4 Tl 3.07
Tl  0.0000  0.5000  0.5000 (multiplicity 1)  4 Cu 2.79, 4 Al 3.07
Cu  0.5000  0.0000  0.5000 (multiplicity 1)  4 Tl 2.79, 4 Al 3.07

Summary:
energy of formation from the pure elements	0.329	eV/atom
crystal system	orthorhombic
DFT total energy	-12.6	eV per formula unit
density of states at the Fermi level	1.97	states/eV per cell
excess energy over the best structure of this formula in the dataset	217	meV/atom

6.
DFT (GGA-PBE) results for a geometry-optimized Al2TlCu structure.

Lattice parameters (Å, degrees): 2.9868 2.9868 8.5826 90.00 90.00 90.00
With the nearest neighbours (Å) after each atom.
Space group P4/mmm (No. 123)
Unique sites:
Al  0.0000  0.0000  0.1828 (multiplicity 2)  4 Cu 2.63
Tl  0.5000  0.5000  0.5000 (multiplicity 1)  4 Tl 2.99
Cu  0.5000  0.5000  0.0000 (multiplicity 1)  8 Al 2.63

Summary:
energy of formation from the pure elements	0.112	eV/atom
crystal system	tetragonal
DFT total energy	-13.5	eV per formula unit
density of states at the Fermi level	1.40	states/eV per cell
excess energy over the best structure of this formula in the dataset	0	meV/atom

7.
DFT (GGA-PBE) results for a geometry-optimized Al2TlCu structure.

Lattice parameters (Å, degrees): 4.1058 4.1058 4.3839 90.00 90.00 90.00
With the nearest neighbours (Å) after each atom.
Space group P4/mmm (No. 123)
Unique sites:
Al  0.0000  0.5000  0.0000 (multiplicity 2)  4 Al 2.90, 4 Tl 3.00, 4 Cu 3.00
Tl  0.0000  0.0000  0.5000 (multiplicity 1)  4 Cu 2.90, 8 Al 3.00
Cu  0.5000  0.5000  0.5000 (multiplicity 1)  4 Tl 2.90, 8 Al 3.00

Summary:
energy of formation from the pure elements	0.295	eV/atom
crystal system	tetragonal
DFT total energy	-12.8	eV per formula unit
density of states at the Fermi level	2.07	states/eV per cell
excess energy over the best structure of this formula in the dataset	183	meV/atom

8.
DFT (GGA-PBE) results for a geometry-optimized Al2TlCu structure.

Lattice parameters (Å, degrees): 4.1907 4.1907 8.3507 90.00 90.00 90.00
With the nearest neighbours (Å) after each atom.
Space group I-4m2 (No. 119)
Unique sites:
Al  0.0000  0.0000  0.0000 (multiplicity 2)  4 Cu 2.96, 4 Al 2.96, 4 Tl 2.96
Al  0.0000  0.5000  0.2500 (multiplicity 2)  4 Tl 2.96, 4 Al 2.96, 4 Cu 2.96
Tl  0.0000  0.0000  0.5000 (multiplicity 2)  4 Cu 2.96, 8 Al 2.96
Cu  0.0000  0.5000  0.7500 (multiplicity 2)  4 Tl 2.96, 8 Al 2.96

Summary:
energy of formation from the pure elements	0.285	eV/atom
crystal system	tetragonal
DFT total energy	-12.8	eV per formula unit
density of states at the Fermi level	2.19	states/eV per cell
excess energy over the best structure of this formula in the dataset	173	meV/atom

9.
DFT (GGA-PBE) results for a geometry-optimized TmAl2Cu structure.

Lattice parameters (Å, degrees): 4.1261 4.1261 4.2389 90.00 90.00 90.00
With the nearest neighbours (Å) after each atom.
Space group P4/mmm (No. 123)
Unique sites:
Tm  0.0000  0.0000  0.0000 (multiplicity 1)  4 Cu 2.92, 8 Al 2.96
Al  0.0000  0.5000  0.5000 (multiplicity 2)  4 Al 2.92, 4 Cu 2.96, 4 Tm 2.96
Cu  0.5000  0.5000  0.0000 (multiplicity 1)  4 Tm 2.92, 8 Al 2.96

Summary:
energy of formation from the pure elements	-0.287	eV/atom
crystal system	tetragonal
DFT total energy	-17.2	eV per formula unit
density of states at the Fermi level	1.75	states/eV per cell

10.
DFT (GGA-PBE) results for a geometry-optimized Tm3AlCu2 structure.

Lattice parameters (Å, degrees): 3.4163 3.4163 10.6996 90.00 90.00 90.00
With the nearest neighbours (Å) after each atom.
Space group P4/mmm (No. 123)
Unique sites:
Tm  0.0000  0.0000  0.0000 (multiplicity 1)  8 Cu 2.99
Tm  0.0000  0.0000  0.3212 (multiplicity 2)  4 Cu 2.94, 4 Al 3.08
Al  0.5000  0.5000  0.5000 (multiplicity 1)  8 Tm 3.08, 4 Al 3.42
Cu  0.5000  0.5000  0.1647 (multiplicity 2)  8 Tm 2.94-2.99

Summary:
energy of formation from the pure elements	-0.327	eV/atom
crystal system	tetragonal
DFT total energy	-27.3	eV per formula unit
density of states at the Fermi level	3.13	states/eV per cell

11.
DFT (GGA-PBE) results for a geometry-optimized Tm3Al2Cu7 structure.

Lattice parameters (Å, degrees): 5.2198 5.2198 24.6123 90.00 90.00 120.00
With the nearest neighbours (Å) after each atom.
Space group R-3m (No. 166, hexagonal axes)
Unique sites:
Tm  0.0000  0.0000  0.0000 (multiplicity 3)  6 Al 3.01, 12 Cu 3.31
Tm  0.0000  0.0000  0.1401 (multiplicity 6)  12 Cu 2.97-3.11, 3 Tm 3.28
Al  0.0000  0.0000  0.3333 (multiplicity 6)  6 Cu 2.52-2.53
Cu  0.0000  0.0000  0.5000 (multiplicity 3)  6 Cu 2.57
Cu  0.0022  0.5011  0.9175 (multiplicity 18)  2 Al 2.52-2.53, 5 Cu 2.57-2.63

Summary:
energy of formation from the pure elements	-0.293	eV/atom
crystal system	trigonal
DFT total energy	-53.1	eV per formula unit
density of states at the Fermi level	24.24	states/eV per cell

12.
DFT (GGA-PBE) results for a geometry-optimized TmAl6Cu12 structure.

Lattice parameters (Å, degrees): 10.7813 10.7813 8.3762 90.00 90.00 120.00
With the nearest neighbours (Å) after each atom.
Space group R-3m (No. 166, hexagonal axes)
Unique sites:
Tm  0.0000  0.0000  0.0000 (multiplicity 3)  6 Cu 2.86
Al  0.0582  0.5291  0.2413 (multiplicity 18)  8 Cu 2.43-2.65
Cu  0.0000  0.3884  0.5000 (multiplicity 18)  3 Cu 2.41-2.54, 4 Al 2.43-2.54
Cu  0.0833  0.1666  0.2860 (multiplicity 18)  4 Al 2.53-2.65, 4 Cu 2.54-2.69

Summary:
energy of formation from the pure elements	-0.078	eV/atom
crystal system	trigonal
DFT total energy	-77.6	eV per formula unit
density of states at the Fermi level	10.99	states/eV per cell